DFT (PBE) results for an optimized crystal structure of DyThCuGe.

a = 5.0599 Å, b = 5.0599 Å, c = 5.0599 Å
α = 60.00°, β = 60.00°, γ = 60.00°
With the nearest neighbours (Å) after each atom.
Fractional coordinates of all 4 atoms:
1 Dy 0.0000 0.0000 0.0000  4 Cu 3.10, 4 Ge 3.10
2 Th 0.5000 0.5000 0.5000  4 Cu 3.10, 4 Ge 3.10
3 Cu 0.7500 0.7500 0.7500  4 Th 3.10, 4 Dy 3.10
4 Ge 0.2500 0.2500 0.2500  4 Dy 3.10, 4 Th 3.10

Output
As for the spin magnetization: 0.000 μB/cell. The total energy is -22.278 eV/cell. The calculation puts the energy relative to the elements at -0.386 eV/atom.


DFT (PBE) results for an optimized crystal structure of DyThCu2Ge2.

a = 4.2317 Å, b = 4.2317 Å, c = 7.7805 Å
α = 90.00°, β = 90.00°, γ = 120.00°
With the nearest neighbours (Å) after each atom.
Fractional coordinates of all 6 atoms:
1 Dy 0.0000 0.0000 0.0000  6 Ge 3.08, 6 Cu 3.10
2 Th 0.0000 0.0000 0.5000  6 Cu 3.15, 6 Ge 3.17
3 Cu 0.3333 0.6667 0.7552  3 Ge 2.44
4 Cu 0.6667 0.3333 0.2448  3 Ge 2.44
5 Ge 0.3333 0.6667 0.2405  3 Cu 2.44
6 Ge 0.6667 0.3333 0.7595  3 Cu 2.44

Output
As for the spin magnetization: 0.000 μB/cell. The total energy is -33.405 eV/cell. The calculation puts the energy relative to the elements at -0.659 eV/atom.


DFT (PBE) results for an optimized crystal structure of DyTmCu2Ge2.

a = 4.2256 Å, b = 4.2256 Å, c = 7.3264 Å
α = 90.00°, β = 90.00°, γ = 120.00°
With the nearest neighbours (Å) after each atom.
Fractional coordinates of all 6 atoms:
1 Dy 0.0000 0.0000 0.0000  6 Ge 3.06, 6 Cu 3.09
2 Tm 0.0000 0.0000 0.5000  6 Cu 3.02, 6 Ge 3.04
3 Cu 0.3333 0.6667 0.7420  3 Ge 2.44
4 Cu 0.6667 0.3333 0.2580  3 Ge 2.44
5 Ge 0.3333 0.6667 0.2531  3 Cu 2.44
6 Ge 0.6667 0.3333 0.7469  3 Cu 2.44

Output
As for the spin magnetization: 0.000 μB/cell. The total energy is -30.584 eV/cell. The calculation puts the energy relative to the elements at -0.681 eV/atom.


DFT (PBE) results for an optimized crystal structure of DyYCu2Ge2.

a = 4.2409 Å, b = 4.2409 Å, c = 7.4259 Å
α = 90.00°, β = 90.00°, γ = 120.00°
With the nearest neighbours (Å) after each atom.
Fractional coordinates of all 6 atoms:
1 Dy 0.0000 0.0000 0.0000  6 Cu 3.06, 6 Ge 3.07
2 Y 0.0000 0.0000 0.5000  6 Ge 3.08, 6 Cu 3.08
3 Cu 0.3333 0.6667 0.7523  3 Ge 2.45
4 Cu 0.6667 0.3333 0.2477  3 Ge 2.45
5 Ge 0.3333 0.6667 0.2488  3 Cu 2.45
6 Ge 0.6667 0.3333 0.7512  3 Cu 2.45

Output
As for the spin magnetization: 0.000 μB/cell. The total energy is -32.651 eV/cell. The calculation puts the energy relative to the elements at -0.693 eV/atom.